No. 1
# PBE CsOsS2N, optimized geometry
# **Formation energy from raw total energies**: 0.1742 eV/atom
# **E above lowest polymorph**: 0 meV per atom
data_CsOsS2N
_chemical_formula_sum 'Cs1 Os1 S2 N1'
_space_group_name_H-M_alt 'P 4/m m m'
_space_group_IT_number 123
_space_group_name_Hall '-P 4 2'
_cell_length_a 5.1037
_cell_length_b 5.1037
_cell_length_c 3.7999
_cell_angle_alpha 90.00
_cell_angle_beta 90.00
_cell_angle_gamma 90.00
loop_
_atom_site_label
_atom_site_fract_x
_atom_site_fract_y
_atom_site_fract_z
Cs1 0.0000 0.0000 0.0000
Os1 0.5000 0.5000 0.5000
S1 0.0000 0.5000 0.5000
N1 0.5000 0.5000 0.0000

No. 2
# PBE CaSmBr2, optimized geometry
# **Formation energy from raw total energies**: -1.1656 eV/atom
data_CaSmBr2
_chemical_formula_sum 'Ca3 Sm3 Br6'
_space_group_name_H-M_alt 'R -3 m'
_space_group_IT_number 166
_space_group_name_Hall '-R 3 2"'
_cell_length_a 3.8270
_cell_length_b 3.8270
_cell_length_c 30.6476
_cell_angle_alpha 90.00
_cell_angle_beta 90.00
_cell_angle_gamma 120.00
loop_
_atom_site_label
_atom_site_fract_x
_atom_site_fract_y
_atom_site_fract_z
Ca1 0.0000 0.0000 0.0000
Sm1 0.0000 0.0000 0.5000
Br1 0.0000 0.0000 0.0988

No. 3
# PBE TaVGe, optimized geometry
# **Calculated formation energy**: 0.0368 eV per atom
data_TaVGe
_chemical_formula_sum 'Ta4 V4 Ge4'
_space_group_name_H-M_alt 'P 42/m'
_space_group_IT_number 84
_cell_length_a 6.7214
_cell_length_b 6.7214
_cell_length_c 4.3343
_cell_angle_alpha 90.00
_cell_angle_beta 90.00
_cell_angle_gamma 90.00
loop_
_space_group_symop_operation_xyz
'x,y,z'
'-x,-y,-z'
'-y,x,z+1/2'
'y,-x,-z+1/2'
'-x,-y,z'
'x,y,-z'
'y,-x,z+1/2'
'-y,x,-z+1/2'
loop_
_atom_site_label
_atom_site_fract_x
_atom_site_fract_y
_atom_site_fract_z
Ta1 0.0378 0.2481 0.0000
V1 0.3327 0.5658 0.0000
Ge1 0.1652 0.5871 0.5000

No. 4
# PBE Er2Tm3Sn2, optimized geometry
# **Calculated formation energy**: -0.4356 eV per atom
data_Er2Tm3Sn2
_chemical_formula_sum 'Er4 Tm6 Sn4'
_space_group_name_H-M_alt 'C 1 2/m 1'
_space_group_IT_number 12
_cell_length_a 11.6782
_cell_length_b 4.4141
_cell_length_c 8.3286
_cell_angle_alpha 90.00
_cell_angle_beta 109.47
_cell_angle_gamma 90.00
loop_
_space_group_symop_operation_xyz
'x,y,z'
'-x,-y,-z'
'-x,y,-z'
'x,-y,z'
'x+1/2,y+1/2,z'
'-x+1/2,-y+1/2,-z'
'-x+1/2,y+1/2,-z'
'x+1/2,-y+1/2,z'
loop_
_atom_site_label
_atom_site_fract_x
_atom_site_fract_y
_atom_site_fract_z
Er1 0.1317 0.0000 0.2815
Tm1 0.0000 0.5000 0.5000
Tm2 0.1250 0.5000 0.9366
Sn1 0.1732 0.0000 0.6954

No. 5
# PBE HoLu2Ag, optimized geometry
# **E above lowest polymorph**: 150 meV per atom
# **Calculated formation energy**: 0.0127 eV per atom
data_HoLu2Ag
_chemical_formula_sum 'Ho1 Lu2 Ag1'
_space_group_name_H-M_alt 'P 4/m m m'
_space_group_IT_number 123
_space_group_name_Hall '-P 4 2'
_cell_length_a 4.6906
_cell_length_b 4.6906
_cell_length_c 4.7415
_cell_angle_alpha 90.00
_cell_angle_beta 90.00
_cell_angle_gamma 90.00
loop_
_atom_site_label
_atom_site_fract_x
_atom_site_fract_y
_atom_site_fract_z
Ho1 0.0000 0.0000 0.0000
Lu1 0.0000 0.5000 0.5000
Ag1 0.5000 0.5000 0.0000

No. 6
# PBE SmSc2Al9, optimized geometry
# **E above lowest polymorph**: 79 meV per atom
# **Calculated formation energy**: -0.3470 eV per atom
data_SmSc2Al9
_chemical_formula_sum 'Sm3 Sc6 Al27'
_space_group_name_H-M_alt 'R -3 m'
_space_group_IT_number 166
_space_group_name_Hall '-R 3 2"'
_cell_length_a 5.4713
_cell_length_b 5.4713
_cell_length_c 25.9790
_cell_angle_alpha 90.00
_cell_angle_beta 90.00
_cell_angle_gamma 120.00
loop_
_atom_site_label
_atom_site_fract_x
_atom_site_fract_y
_atom_site_fract_z
Sm1 0.0000 0.0000 0.0000
Sc1 0.0000 0.0000 0.1431
Al1 0.0000 0.0000 0.3354
Al2 0.0000 0.0000 0.5000
Al3 0.0077 0.5038 0.9143

No. 7
# PBE BaZrMo, optimized geometry
# **E above lowest polymorph**: 128 meV per atom
# **Calculated formation energy**: 0.7440 eV per atom
data_BaZrMo
_chemical_formula_sum 'Ba4 Zr4 Mo4'
_space_group_name_H-M_alt 'F m m 2'
_space_group_IT_number 42
_space_group_name_Hall 'F 2 -2'
_cell_length_a 3.6885
_cell_length_b 5.3675
_cell_length_c 16.0941
_cell_angle_alpha 90.00
_cell_angle_beta 90.00
_cell_angle_gamma 90.00
loop_
_atom_site_label
_atom_site_fract_x
_atom_site_fract_y
_atom_site_fract_z
Ba1 0.0000 0.0000 0.0000
Zr1 0.0000 0.0000 0.2854
Mo1 0.0000 0.0000 0.6692

No. 8
# PBE Li3CrRh, optimized geometry
# **Calculated formation energy**: 1.0852 eV per atom
data_Li3CrRh
_chemical_formula_sum 'Li3 Cr1 Rh1'
_space_group_name_H-M_alt 'P m -3 m'
_space_group_IT_number 221
_space_group_name_Hall '-P 4 2 3'
_cell_length_a 4.4701
_cell_length_b 4.4701
_cell_length_c 4.4701
_cell_angle_alpha 90.00
_cell_angle_beta 90.00
_cell_angle_gamma 90.00
loop_
_atom_site_label
_atom_site_fract_x
_atom_site_fract_y
_atom_site_fract_z
Li1 0.0000 0.0000 0.5000
Cr1 0.0000 0.0000 0.0000
Rh1 0.5000 0.5000 0.5000

No. 9
# PBE BaZn2Pb, optimized geometry
# **Calculated formation energy**: -0.1748 eV per atom
data_BaZn2Pb
_chemical_formula_sum 'Ba3 Zn6 Pb3'
_space_group_name_H-M_alt 'R -3 m'
_space_group_IT_number 166
_space_group_name_Hall '-R 3 2"'
_cell_length_a 4.9247
_cell_length_b 4.9247
_cell_length_c 16.9136
_cell_angle_alpha 90.00
_cell_angle_beta 90.00
_cell_angle_gamma 120.00
loop_
_atom_site_label
_atom_site_fract_x
_atom_site_fract_y
_atom_site_fract_z
Ba1 0.0000 0.0000 0.0000
Zn1 0.0000 0.0000 0.2156
Pb1 0.0000 0.0000 0.5000

No. 10
# PBE Ca2ScOsO8, optimized geometry
# **Formation energy from raw total energies**: -1.9630 eV/atom
data_Ca2ScOsO8
_chemical_formula_sum 'Ca2 Sc1 Os1 O8'
_space_group_name_H-M_alt 'P 1 2/m 1'
_space_group_IT_number 10
_cell_length_a 4.8411
_cell_length_b 6.4602
_cell_length_c 5.2302
_cell_angle_alpha 90.00
_cell_angle_beta 90.91
_cell_angle_gamma 90.00
loop_
_space_group_symop_operation_xyz
'x,y,z'
'-x,-y,-z'
'-x,y,-z'
'x,-y,z'
loop_
_atom_site_label
_atom_site_fract_x
_atom_site_fract_y
_atom_site_fract_z
Ca1 0.0000 0.2484 0.0000
Sc1 0.5000 0.5000 0.5000
Os1 0.5000 0.0000 0.5000
O1 0.2774 0.0000 0.2080
O2 0.2799 0.5000 0.1655
O3 0.2846 0.2158 0.6372

no.,size of the total moment (μB per atom)
1,0.000
2,0.000
3,0.000
4,0.000
5,0.000
6,0.000
7,0.000
8,1.105
9,0.000
10,0.091